18
Lattice="4.800 0.000 0.000 0.000 4.800 0.000 0.000 0.000 9.378" Properties=species:S:1:pos:R:3 comment="Li2WF6, relaxed, DFT PBE with a Hubbard U" final_energy_ev_per_atom=-5.330 m_tot_mub_per_fu=2.0 mass_density_g_cm3=4.792 pbc="T T T"
F 0.982 3.817 0.000
F 1.418 1.418 4.689
F 0.960 3.839 6.199
F 1.440 1.440 7.868
F 3.839 0.960 6.199
F 3.360 3.360 7.868
F 3.382 3.382 4.689
F 3.817 0.982 0.000
F 3.360 3.360 1.510
F 1.440 1.440 1.510
F 0.960 3.839 3.179
F 3.839 0.960 3.179
Li 0.000 0.000 7.832
Li 2.400 2.400 3.143
Li 0.000 0.000 1.546
Li 2.400 2.400 6.236
W 0.000 0.000 4.689
W 2.400 2.400 0.000